(1)
DFT (PBE) results for a relaxed ZrTiF3 crystal.

a = 4.1999 Å, b = 4.1999 Å, c = 4.1999 Å
α = 90.00°, β = 90.00°, γ = 90.00°
Element x y z (fractional)
Zr  0.0000  0.0000  0.0000
Ti  0.5000  0.5000  0.5000
F  0.0000  0.5000  0.5000
F  0.5000  0.0000  0.5000
F  0.5000  0.5000  0.0000

Summary:
- final energy (eV/atom) = -6.118
- energy above the lowest structure with this stoichiometry (eV per atom) = 0.000
- magnetic moment (μB per formula unit) = 4.85
- space-group type = No. 221



(2)
DFT (PBE) results for a relaxed Tl3Cd5 crystal.

a = 9.6414 Å, b = 9.6414 Å, c = 5.4871 Å
α = 90.00°, β = 90.00°, γ = 120.00°
Element x y z (fractional)
Tl  0.0000  0.3898  0.2500
Tl  0.0000  0.6102  0.7500
Tl  0.3898  0.0000  0.2500
Tl  0.3898  0.3898  0.7500
Tl  0.6102  0.0000  0.7500
Tl  0.6102  0.6102  0.2500
Cd  0.0000  0.1980  0.7500
Cd  0.0000  0.8020  0.2500
Cd  0.1980  0.0000  0.7500
Cd  0.1980  0.1980  0.2500
Cd  0.3333  0.6667  0.0000
Cd  0.3333  0.6667  0.5000
Cd  0.6667  0.3333  0.0000
Cd  0.6667  0.3333  0.5000
Cd  0.8020  0.0000  0.2500
Cd  0.8020  0.8020  0.7500

Summary:
- final energy (eV/atom) = -1.364
- energy above the lowest structure with this stoichiometry (eV per atom) = 0.067
- magnetic moment (μB per formula unit) = 0.00
- space-group type = No. 193



(3)
DFT (PBE) results for a relaxed TbDyOsRh crystal.

a = 4.8411 Å, b = 4.8411 Å, c = 4.8411 Å
α = 60.00°, β = 60.00°, γ = 60.00°
Element x y z (fractional)
Tb  0.0000  0.0000  0.0000
Dy  0.5000  0.5000  0.5000
Os  0.2500  0.2500  0.2500
Rh  0.7500  0.7500  0.7500

Summary:
- final energy (eV/atom) = -7.411
- magnetic moment (μB per formula unit) = 0.00
- space-group type = No. 216